No. 1
# K2NaSiF8, relaxed, DFT PBE-GGA
data_K2NaSiF8
_chemical_formula_sum 'K2 Na1 Si1 F8'
_cell_length_a 5.7717
_cell_length_b 5.7717
_cell_length_c 6.7601
_cell_angle_alpha 90.00
_cell_angle_beta 90.00
_cell_angle_gamma 120.00
_space_group_name_H-M_alt 'P -3 m 1'
_space_group_IT_number 164
_space_group_name_Hall '-P 3 2"'
loop_
_atom_site_label
_atom_site_type_symbol
_atom_site_fract_x
_atom_site_fract_y
_atom_site_fract_z
K1 K 0.3333 0.6667 0.3513
Na1 Na 0.0000 0.0000 0.0000
Si1 Si 0.0000 0.0000 0.5000
F1 F 0.1391 0.2783 0.6488
F2 F 0.3333 0.6667 0.9800
# total magnetic moment = 1.0 μB/cell
# VASP energy = -4.662 eV per atom

=====

No. 2
# Al2CoTc, relaxed, DFT PBE-GGA
data_Al2CoTc
_chemical_formula_sum 'Al2 Co1 Tc1'
_cell_length_a 3.089
_cell_length_b 3.089
_cell_length_c 5.648
_cell_angle_alpha 90.00
_cell_angle_beta 90.00
_cell_angle_gamma 90.00
_space_group_name_H-M_alt 'P 4 m m'
_space_group_IT_number 99
loop_
_space_group_symop_operation_xyz
'x,y,z'
'-y,x,z'
'-x,-y,z'
'y,-x,z'
'-x,y,z'
'y,x,z'
'x,-y,z'
'-y,-x,z'
loop_
_atom_site_label
_atom_site_type_symbol
_atom_site_fract_x
_atom_site_fract_y
_atom_site_fract_z
Al1 Al 0.000 0.000 0.000
Al2 Al 0.500 0.500 0.285
Co1 Co 0.000 0.000 0.493
Tc1 Tc 0.500 0.500 0.764
# formation energy from the elements = -222.4 meV/atom
# energy relative to the lowest polymorph listed for this composition = 198 meV/atom
# total magnetic moment = 1.1 μB/cell

=====

No. 3
# MnH3Ru, relaxed, DFT PBE-GGA
data_MnH3Ru
_chemical_formula_sum 'Mn1 H3 Ru1'
_cell_length_a 3.287
_cell_length_b 3.287
_cell_length_c 3.287
_cell_angle_alpha 90.00
_cell_angle_beta 90.00
_cell_angle_gamma 90.00
_space_group_name_H-M_alt 'P m -3 m'
_space_group_IT_number 221
_space_group_name_Hall '-P 4 2 3'
loop_
_atom_site_label
_atom_site_type_symbol
_atom_site_fract_x
_atom_site_fract_y
_atom_site_fract_z
Mn1 Mn 0.000 0.000 0.000
H1 H 0.000 0.000 0.500
Ru1 Ru 0.500 0.500 0.500
# total magnetic moment = 3.6 μB/cell
# VASP energy = -5.341 eV per atom